# 1
VASP calculation (PBEsol) on an optimized crystal structure of SrGe3Pt.

The formation energy is -671.1 meV per atom. The size of the total moment comes out at 0.0 μB/f.u. Its density of states at the Fermi level is 0.32 states/eV per atom.

Cell lengths 4.4763, 4.4763, 5.9565 Å; angles 112.07, 112.07, 90.00 degrees
Last column: nearest neighbours and their distance in Å.
Fractional positions:
Sr 0.9998 0.9998 0.9996  12 Ge 3.32-3.42, 5 Pt 3.49-3.58
Ge 0.7442 0.2442 0.4883  2 Pt 2.50, 2 Ge 2.68
Ge 0.2442 0.7442 0.4883  2 Pt 2.50, 2 Ge 2.68
Ge 0.5976 0.5976 0.1952  1 Pt 2.46, 4 Ge 2.68
Pt 0.3543 0.3543 0.7085  5 Ge 2.46-2.50

# 2
VASP calculation (PBEsol) on an optimized crystal structure of YBeAg2O.

The value obtained for the uncorrected formation energy is 1.88 eV/atom. The size of the total moment comes out at 1.5 μB/f.u. Its density of states at the Fermi level is 1.10 states/eV per atom.

Cell lengths 5.3684, 5.4577, 5.4577 Å; angles 90.00, 90.00, 90.00 degrees
Last column: nearest neighbours and their distance in Å.
Fractional positions:
Y 0.0000 0.0000 0.0000  2 Be 2.68, 4 Ag 2.73
Be 0.5000 0.0000 0.0000  2 Y 2.68
O 0.5000 0.5000 0.5000  8 Ag 3.83, 4 Be 3.86
Ag 0.0000 0.0000 0.5000  2 Y 2.73
Ag 0.0000 0.5000 0.0000  2 Y 2.73

# 3
VASP calculation (PBEsol) on an optimized crystal structure of KCa2Ag.

The energy above the most stable polymorph in this dataset comes out at 0.325 eV/atom. The formation energy is 253.2 meV per atom. The size of the total moment comes out at 0.0 μB/f.u. Its density of states at the Fermi level is 0.68 states/eV per atom.

Cell lengths 3.7241, 6.5184, 6.8096 Å; angles 116.88, 103.13, 95.55 degrees
Last column: nearest neighbours and their distance in Å.
Fractional positions:
Ag 0.0000 0.5000 0.0000  4 Ca 3.49, 4 K 3.59-3.91, 2 Ag 3.72
Ca 0.0000 0.0000 0.5000  2 K 3.49, 2 Ag 3.49, 6 Ca 3.59-3.91
Ca 0.5000 0.5000 0.5000  2 K 3.49, 2 Ag 3.49, 6 Ca 3.59-3.91
K 0.5000 0.0000 0.0000  4 Ca 3.49, 4 Ag 3.59-3.91, 2 K 3.72